(1)
# La14MgPb, optimized geometry, DFT PBE
data_La14MgPb
_space_group_name_H-M_alt 'P 4/m m m'
_space_group_IT_number 123
_space_group_name_Hall '-P 4 2'
_cell_length_a 7.281
_cell_length_b 7.281
_cell_length_c 10.535
_cell_angle_alpha 90.00
_cell_angle_beta 90.00
_cell_angle_gamma 90.00
loop_
_atom_site_label
_atom_site_type_symbol
_atom_site_fract_x
_atom_site_fract_y
_atom_site_fract_z
_atom_site_occupancy
La1 La 0.000 0.000 0.000 1
La2 La 0.000 0.500 0.000 1
La3 La 0.000 0.500 0.500 1
La4 La 0.248 0.248 0.255 1
La5 La 0.500 0.500 0.000 1
Mg1 Mg 0.500 0.500 0.500 1
Pb1 Pb 0.000 0.000 0.500 1
# Crystal system   tetragonal
# Total moment   0.00 μB/cell
# E_form   -89.8 meV per atom

---

(2)
# LaMg2Pb, optimized geometry, DFT PBE
data_LaMg2Pb
_space_group_name_H-M_alt 'P 1 2/m 1'
_space_group_IT_number 10
_cell_length_a 3.448
_cell_length_b 5.350
_cell_length_c 6.218
_cell_angle_alpha 90.00
_cell_angle_beta 94.36
_cell_angle_gamma 90.00
loop_
_space_group_symop_operation_xyz
'x,y,z'
'-x,-y,-z'
'-x,y,-z'
'x,-y,z'
loop_
_atom_site_label
_atom_site_type_symbol
_atom_site_fract_x
_atom_site_fract_y
_atom_site_fract_z
_atom_site_occupancy
La1 La 0.000 0.000 0.000 1
Mg1 Mg 0.434 0.500 0.751 1
Pb1 Pb 0.500 0.000 0.500 1
# Crystal system   monoclinic
# Total moment   0.02 μB/cell
# E_form   -175.5 meV per atom

---

(3)
# LaMgPb2, optimized geometry, DFT PBE
data_LaMgPb2
_space_group_name_H-M_alt 'R -3 m'
_space_group_IT_number 166
_space_group_name_Hall '-R 3 2"'
_cell_length_a 3.5958
_cell_length_b 3.5958
_cell_length_c 31.3912
_cell_angle_alpha 90.00
_cell_angle_beta 90.00
_cell_angle_gamma 120.00
loop_
_atom_site_label
_atom_site_type_symbol
_atom_site_fract_x
_atom_site_fract_y
_atom_site_fract_z
_atom_site_occupancy
La1 La 0.0000 0.0000 0.0000 1
Mg1 Mg 0.0000 0.0000 0.5000 1
Pb1 Pb 0.0000 0.0000 0.2430 1
# Crystal system   trigonal
# Total moment   0.00 μB/cell
# E_form   -207.5 meV per atom